An optimized crystal structure of Ac2AlGe3, computed with PBE-GGA.

Calculated values
Energy of formation in eV per atom: -0.60
Crystal system: orthorhombic
ΔE to the lowest computed polymorph in kJ/mol of formula units: 0.0
Space-group type: Pmm2 (25)

Cell: 4.4141 4.5372 7.8589 Å, 90.00 90.00 90.00°
With the nearest neighbours (Å) after each atom.
Positions (direct):
Ac: 0.0000 0.0000 0.0000  10 Ge 3.41-3.50, 2 Al 3.49
Ac: 0.5000 0.0000 0.4891  8 Ge 3.38-3.46, 4 Al 3.45
Al: 0.0000 0.5000 0.6631  3 Ge 2.53-2.55
Ge: 0.0000 0.5000 0.3389  1 Al 2.55, 2 Ge 2.61
Ge: 0.5000 0.5000 0.1616  3 Ge 2.61-2.68
Ge: 0.5000 0.5000 0.8211  2 Al 2.53, 1 Ge 2.68

---

An optimized crystal structure of Ac2AlGe3, computed with PBE-GGA.

Calculated values
Energy of formation in eV per atom: -0.60
Crystal system: orthorhombic
ΔE to the lowest computed polymorph in kJ/mol of formula units: 4.6
Space-group type: Fmmm (69)

Cell: 8.9632 8.9381 6.3842 Å, 69.32 68.90 41.79°
With the nearest neighbours (Å) after each atom.
Positions (direct):
Ac: 0.2438 0.7562 0.2438  10 Ge 3.43-3.45, 2 Al 3.46
Ac: 0.2500 0.2500 0.2500  8 Ge 3.42, 4 Al 3.45
Ac: 0.7500 0.7500 0.7500  8 Ge 3.42, 4 Al 3.45
Ac: 0.7562 0.2438 0.7562  10 Ge 3.43-3.45, 2 Al 3.46
Al: 0.3340 0.3340 0.6660  3 Ge 2.52-2.54
Al: 0.6660 0.6660 0.3340  3 Ge 2.52-2.54
Ge: 0.1699 0.1699 0.8301  1 Al 2.54, 2 Ge 2.66
Ge: 0.1725 0.6584 0.8275  1 Al 2.52, 2 Ge 2.61-2.66
Ge: 0.3416 0.8275 0.6584  1 Al 2.52, 2 Ge 2.61-2.66
Ge: 0.6584 0.1725 0.3416  1 Al 2.52, 2 Ge 2.61-2.66
Ge: 0.8275 0.3416 0.1725  1 Al 2.52, 2 Ge 2.61-2.66
Ge: 0.8301 0.8301 0.1699  1 Al 2.54, 2 Ge 2.66

---

An optimized crystal structure of Ac3Al4Ge4, computed with PBE-GGA.

Calculated values
Energy of formation in eV per atom: -0.48
Crystal system: triclinic
Space-group type: P-1 (2)

Cell: 4.3142 4.5150 14.0630 Å, 81.31 81.24 89.91°
With the nearest neighbours (Å) after each atom.
Positions (direct):
Ac: 0.0000 0.0000 0.0000  8 Ge 3.39-3.41, 4 Al 3.48-3.50
Ac: 0.3559 0.8643 0.2892  8 Al 3.37-3.75, 6 Ge 3.38-3.46
Ac: 0.6441 0.1357 0.7108  8 Al 3.37-3.75, 6 Ge 3.38-3.46
Al: 0.0958 0.5870 0.8062  3 Ge 2.52-2.67
Al: 0.2505 0.2439 0.5020  4 Ge 2.66-2.72
Al: 0.7495 0.7561 0.4980  4 Ge 2.66-2.72
Al: 0.9042 0.4130 0.1938  3 Ge 2.52-2.67
Ge: 0.1937 0.6895 0.6116  5 Al 2.66-2.72
Ge: 0.4509 0.4513 0.0986  2 Al 2.52, 1 Ge 2.71
Ge: 0.5491 0.5487 0.9014  2 Al 2.52, 1 Ge 2.71
Ge: 0.8063 0.3105 0.3884  5 Al 2.66-2.72

---

An optimized crystal structure of Ac8Al2Ge, computed with PBE-GGA.

Calculated values
Energy of formation in eV per atom: -0.17
Crystal system: monoclinic
Space-group type: C2/m (12)

Cell: 10.6772 10.6772 7.4511 Å, 102.64 102.64 29.79°
With the nearest neighbours (Å) after each atom.
Positions (direct):
Ac: 0.0237 0.0237 0.2793  2 Ge 3.29, 1 Al 3.40, 1 Ac 3.64
Ac: 0.2125 0.2125 0.8129  3 Al 3.38-3.54, 2 Ac 3.73
Ac: 0.3431 0.3431 0.5252  1 Ge 3.29, 3 Al 3.36-3.45
Ac: 0.4072 0.4072 0.0468  1 Ge 3.48, 2 Al 3.74, 3 Ac 3.80-3.81
Ac: 0.5928 0.5928 0.9532  1 Ge 3.48, 2 Al 3.74, 3 Ac 3.80-3.81
Ac: 0.6569 0.6569 0.4748  1 Ge 3.29, 3 Al 3.36-3.45
Ac: 0.7875 0.7875 0.1871  3 Al 3.38-3.54, 2 Ac 3.73
Ac: 0.9763 0.9763 0.7207  2 Ge 3.29, 1 Al 3.40, 1 Ac 3.64
Al: 0.1853 0.1853 0.2438  9 Ac 3.36-3.74
Al: 0.8147 0.8147 0.7562  9 Ac 3.36-3.74
Ge: 0.5000 0.5000 0.5000  8 Ac 3.29-3.48